--- w ---
Compound: FeOs2
Source: Alexandria
Functional: PBE-GGA
Structure: optimized geometry

Summary:
For the spin magnetization, the calculation gives 1.97 μB/f.u.

Lattice parameters (Å, degrees): 4.6031 4.6031 4.6031 145.67 132.17 60.18
Closest atoms and distances in Å follow each position.
Fractional coordinates of all 3 atoms:
Fe  0.0000  0.0000  0.0000  10 Os 2.65-2.66, 2 Fe 2.72
Os  0.6669  0.6669  0.0000  5 Fe 2.65-2.66, 7 Os 2.66-2.72
Os  0.3331  0.3331  0.0000  5 Fe 2.65-2.66, 7 Os 2.66-2.72

--- x ---
Compound: FeOs2
Source: Alexandria
Functional: PBE-GGA
Structure: optimized geometry

Summary:
For the spin magnetization, the calculation gives 0.01 μB/f.u.

Lattice parameters (Å, degrees): 2.6996 4.9986 6.2514 77.38 90.00 105.67
Closest atoms and distances in Å follow each position.
Fractional coordinates of all 6 atoms:
Fe  0.9991  0.9982  0.0010  8 Os 2.57-2.67, 4 Fe 2.70
Fe  0.6677  0.3353  0.6657  8 Os 2.54-2.69, 4 Fe 2.70
Os  0.3909  0.7819  0.7280  5 Fe 2.57-2.64, 7 Os 2.66-2.70
Os  0.0572  0.1145  0.3924  3 Fe 2.59-2.63, 9 Os 2.60-2.71
Os  0.7178  0.4356  0.0477  4 Fe 2.54-2.66, 8 Os 2.66-2.71
Os  0.3339  0.6679  0.3317  8 Os 2.60-2.70, 4 Fe 2.67-2.69

--- y ---
Compound: FeOs2
Source: Alexandria
Functional: PBE-GGA
Structure: optimized geometry

Summary:
For the spin magnetization, the calculation gives 1.33 μB/f.u.

Lattice parameters (Å, degrees): 5.1668 4.0278 7.6779 90.00 90.00 90.00
Closest atoms and distances in Å follow each position.
Fractional coordinates of all 12 atoms:
Fe  0.7902  0.7500  0.1166  10 Os 2.49-2.74
Fe  0.7098  0.2500  0.6166  10 Os 2.49-2.74
Fe  0.2098  0.2500  0.8834  10 Os 2.49-2.74
Fe  0.2902  0.7500  0.3834  10 Os 2.49-2.74
Os  0.3144  0.7500  0.0597  5 Fe 2.49-2.74, 3 Os 2.68-2.75
Os  0.5584  0.2500  0.2876  5 Fe 2.55-2.69, 6 Os 2.65-2.84
Os  0.6856  0.2500  0.9403  5 Fe 2.49-2.74, 3 Os 2.68-2.75
Os  0.1856  0.2500  0.5597  5 Fe 2.49-2.74, 3 Os 2.68-2.75
Os  0.0584  0.2500  0.2124  5 Fe 2.55-2.69, 6 Os 2.65-2.84
Os  0.9416  0.7500  0.7876  5 Fe 2.55-2.69, 6 Os 2.65-2.84
Os  0.8144  0.7500  0.4403  5 Fe 2.49-2.74, 3 Os 2.68-2.75
Os  0.4416  0.7500  0.7124  5 Fe 2.55-2.69, 6 Os 2.65-2.84

The most stable of them is x.

--- w ---
Compound: FeOs2
Source: Alexandria
Functional: PBE-GGA
Structure: optimized geometry

Summary:
For the spin magnetization, the calculation gives 1.47 μB/f.u.

Lattice parameters (Å, degrees): 5.9583 5.9583 3.7679 90.00 90.00 143.12
Closest atoms and distances in Å follow each position.
Fractional coordinates of all 6 atoms:
Fe  0.0833  0.9167  0.7500  10 Os 2.64-2.69, 2 Fe 2.66
Fe  0.9167  0.0833  0.2500  10 Os 2.64-2.69, 2 Fe 2.66
Os  0.4179  0.5821  0.7500  6 Os 2.65-2.70, 6 Fe 2.66
Os  0.5821  0.4179  0.2500  6 Os 2.65-2.70, 6 Fe 2.66
Os  0.7536  0.2464  0.7500  4 Fe 2.64-2.69, 8 Os 2.65-2.70
Os  0.2464  0.7536  0.2500  4 Fe 2.64-2.69, 8 Os 2.65-2.70

--- x ---
Compound: FeOs2
Source: Alexandria
Functional: PBE-GGA
Structure: optimized geometry

Summary:
For the spin magnetization, the calculation gives 0.03 μB/f.u.

Lattice parameters (Å, degrees): 5.7032 5.7032 5.7032 90.00 90.00 90.00
Closest atoms and distances in Å follow each position.
Fractional coordinates of all 12 atoms:
Os  0.1165  0.8835  0.3835  1 Os 2.30, 3 Fe 2.38
Os  0.8835  0.1165  0.6165  1 Os 2.30, 3 Fe 2.38
Os  0.1165  0.6165  0.8835  1 Os 2.30, 3 Fe 2.38
Os  0.6165  0.6165  0.6165  1 Os 2.30, 3 Fe 2.38
Os  0.3835  0.1165  0.8835  1 Os 2.30, 3 Fe 2.38
Os  0.8835  0.3835  0.1165  1 Os 2.30, 3 Fe 2.38
Os  0.3835  0.3835  0.3835  1 Os 2.30, 3 Fe 2.38
Os  0.6165  0.8835  0.1165  1 Os 2.30, 3 Fe 2.38
Fe  0.5000  0.5000  0.0000  6 Os 2.38
Fe  0.0000  0.0000  0.0000  6 Os 2.38
Fe  0.5000  0.0000  0.5000  6 Os 2.38
Fe  0.0000  0.5000  0.5000  6 Os 2.38

--- y ---
Compound: FeOs2
Source: Alexandria
Functional: PBE-GGA
Structure: optimized geometry

Summary:
For the spin magnetization, the calculation gives 0.01 μB/f.u.

Lattice parameters (Å, degrees): 2.6760 5.8176 2.6760 76.70 90.00 103.30
Closest atoms and distances in Å follow each position.
Fractional coordinates of all 3 atoms:
Os  0.6616  0.3232  0.3384  4 Fe 2.60, 8 Os 2.68-2.71
Os  0.3384  0.6768  0.6616  4 Fe 2.60, 8 Os 2.68-2.71
Fe  0.0000  0.0000  0.0000  8 Os 2.60, 4 Fe 2.68

The most stable of them is w.

--- w ---
Compound: FeOs2
Source: Alexandria
Functional: PBE-GGA
Structure: optimized geometry

Summary:
For the spin magnetization, the calculation gives 1.37 μB/f.u.

Lattice parameters (Å, degrees): 11.4889 11.4889 11.4889 166.51 166.51 19.12
Closest atoms and distances in Å follow each position.
Fractional coordinates of all 6 atoms:
Os  0.5758  0.5758  0.0000  4 Fe 2.57, 6 Os 2.60-2.70
Os  0.4242  0.4242  0.0000  4 Fe 2.57, 6 Os 2.60-2.70
Os  0.1742  0.6742  0.5000  4 Fe 2.57, 6 Os 2.60-2.70
Os  0.3258  0.8258  0.5000  4 Fe 2.57, 6 Os 2.60-2.70
Fe  0.7500  0.2500  0.5000  8 Os 2.57, 4 Fe 2.70
Fe  0.0000  0.0000  0.0000  8 Os 2.57, 4 Fe 2.70

--- x ---
Compound: FeOs2
Source: Alexandria
Functional: PBE-GGA
Structure: optimized geometry

Summary:
For the spin magnetization, the calculation gives 2.91 μB/f.u.

Lattice parameters (Å, degrees): 5.1205 5.1205 8.1796 90.00 90.00 60.00
Closest atoms and distances in Å follow each position.
Fractional coordinates of all 12 atoms:
Os  0.3500  0.8250  0.7500  6 Os 2.43-2.69
Os  0.1750  0.6500  0.2500  6 Os 2.43-2.69
Os  0.0000  0.0000  0.5000  6 Os 2.57
Os  0.1750  0.1750  0.2500  6 Os 2.43-2.69
Os  0.0000  0.0000  0.0000  6 Os 2.57
Os  0.8250  0.8250  0.7500  6 Os 2.43-2.69
Os  0.6500  0.1750  0.2500  6 Os 2.43-2.69
Os  0.8250  0.3500  0.7500  6 Os 2.43-2.69
Fe  0.6667  0.6667  0.4080  1 Fe 2.59, 6 Os 2.87
Fe  0.3333  0.3333  0.9080  1 Fe 2.59, 6 Os 2.87
Fe  0.3333  0.3333  0.5920  1 Fe 2.59, 6 Os 2.87
Fe  0.6667  0.6667  0.0920  1 Fe 2.59, 6 Os 2.87

The most stable of them is w.

--- w ---
Compound: FeOs2
Source: Alexandria
Functional: PBE-GGA
Structure: optimized geometry

Summary:
For the spin magnetization, the calculation gives 1.83 μB/f.u.

Lattice parameters (Å, degrees): 2.6978 2.6978 6.4500 90.00 90.00 120.00
Closest atoms and distances in Å follow each position.
Fractional coordinates of all 3 atoms:
Os  0.3333  0.6667  0.3275  3 Fe 2.62, 9 Os 2.70-2.72
Os  0.6667  0.3333  0.6725  3 Fe 2.62, 9 Os 2.70-2.72
Fe  0.0000  0.0000  0.0000  6 Os 2.62, 6 Fe 2.70

--- x ---
Compound: FeOs2
Source: Alexandria
Functional: PBE-GGA
Structure: optimized geometry

Summary:
For the spin magnetization, the calculation gives 3.24 μB/f.u.

Lattice parameters (Å, degrees): 5.0926 5.0926 5.0926 60.00 60.00 60.00
Closest atoms and distances in Å follow each position.
Fractional coordinates of all 6 atoms:
Os  0.6250  0.6250  0.1250  6 Os 2.55
Os  0.6250  0.6250  0.6250  6 Os 2.55
Os  0.6250  0.1250  0.6250  6 Os 2.55
Os  0.1250  0.6250  0.6250  6 Os 2.55
Fe  0.0000  0.0000  0.0000  12 Os 2.99, 4 Fe 3.12
Fe  0.2500  0.2500  0.2500  12 Os 2.99, 4 Fe 3.12

--- y ---
Compound: FeOs2
Source: Alexandria
Functional: PBE-GGA
Structure: optimized geometry

Summary:
For the spin magnetization, the calculation gives 0.51 μB/f.u.

Lattice parameters (Å, degrees): 6.1925 6.1925 3.6916 90.00 90.00 120.00
Closest atoms and distances in Å follow each position.
Fractional coordinates of all 9 atoms:
Fe  0.6667  0.3333  0.0000  3 Os 2.34
Fe  0.3333  0.6667  0.0000  3 Os 2.34
Fe  0.0000  0.0000  0.5000  9 Os 2.43-2.48
Os  0.7443  0.7443  0.0000  4 Fe 2.34-2.43
Os  0.5994  0.0000  0.5000  5 Fe 2.48-2.64
Os  0.4006  0.4006  0.5000  5 Fe 2.48-2.64
Os  0.0000  0.5994  0.5000  5 Fe 2.48-2.64
Os  0.0000  0.2557  0.0000  4 Fe 2.34-2.43
Os  0.2557  0.0000  0.0000  4 Fe 2.34-2.43

The most stable of them is w.

--- w ---
Compound: Fe2Os3
Source: Alexandria
Functional: PBE-GGA
Structure: optimized geometry

Summary:
For the spin magnetization, the calculation gives 3.90 μB/f.u.

Lattice parameters (Å, degrees): 10.8608 10.8608 10.8608 14.19 14.19 14.19
Closest atoms and distances in Å follow each position.
Fractional coordinates of all 5 atoms:
Fe  0.6004  0.6004  0.6004  6 Os 2.62-2.64, 6 Fe 2.68
Fe  0.3996  0.3996  0.3996  6 Os 2.62-2.64, 6 Fe 2.68
Os  0.7983  0.7983  0.7983  3 Fe 2.62, 9 Os 2.68-2.74
Os  0.0000  0.0000  0.0000  6 Fe 2.64, 6 Os 2.68
Os  0.2017  0.2017  0.2017  3 Fe 2.62, 9 Os 2.68-2.74

--- x ---
Compound: Fe2Os3
Source: Alexandria
Functional: PBE-GGA
Structure: optimized geometry

Summary:
For the spin magnetization, the calculation gives 4.51 μB/f.u.

Lattice parameters (Å, degrees): 4.0410 4.0410 5.0645 90.00 90.00 120.00
Closest atoms and distances in Å follow each position.
Fractional coordinates of all 5 atoms:
Fe  0.6667  0.3333  0.1701  8 Os 2.43-2.63
Fe  0.3333  0.6667  0.8299  8 Os 2.43-2.63
Os  0.3333  0.6667  0.3494  5 Fe 2.43-2.63
Os  0.6667  0.3333  0.6506  5 Fe 2.43-2.63
Os  0.0000  0.0000  0.0000  6 Fe 2.49

The most stable of them is w.